# 1
This record from the Alexandria database describes a relaxed ZnGeTe2N crystal. The functional is PBE-GGA. Values from VASP.

## Properties
The space group is P4/mmm, No. 123. The offset from the most stable computed form comes out at 0.694 eV per formula unit. The electronic total energy is -3.310 eV/atom.

```
&SYSTEM
  ibrav = 0, nat = 5, ntyp = 4
/
ATOMIC_SPECIES
N 14.01 N.upf
Zn 65.41 Zn.upf
Te 127.60 Te.upf
Ge 72.64 Ge.upf
CELL_PARAMETERS angstrom
-3.8677 -1.5156 -3.8681
1.2584 -5.4640 0.8827
-2.5353 -0.1640 2.5994
ATOMIC_POSITIONS crystal
N 0.0000 0.0000 0.5000
Zn 0.0000 0.0000 0.0000
Te 0.5000 0.0000 0.0000
Te 0.0000 0.5000 0.0000
Ge 0.5000 0.5000 0.5000
```

# 2
This record from the Alexandria database describes a relaxed LiDyInPd crystal. The functional is PBE-GGA. Values from VASP.

## Properties
The calculation puts the energy of formation at -0.610 eV per atom. The space group is F-43m, No. 216. The electronic total energy is -4.222 eV/atom.

```
&SYSTEM
  ibrav = 0, nat = 4, ntyp = 4
/
ATOMIC_SPECIES
In 114.82 In.upf
Dy 162.50 Dy.upf
Pd 106.42 Pd.upf
Li 6.94 Li.upf
CELL_PARAMETERS angstrom
-3.3598 0.3121 -3.4233
0.5101 -2.4576 -4.0993
-2.8510 -3.7591 -0.9192
ATOMIC_POSITIONS crystal
In 0.2500 0.2500 0.2500
Dy 0.7500 0.7500 0.7500
Pd 0.5000 0.5000 0.5000
Li 0.0000 0.0000 0.0000
```

# 3
This record from the Alexandria database describes a relaxed Tm2LuBi crystal. The functional is PBE-GGA. Values from VASP.

## Properties
The calculation puts the energy of formation at -0.270 eV per atom. The space group is P4/mmm, No. 123. The offset from the most stable computed form comes out at 0.229 eV per formula unit. The electronic total energy is -4.606 eV/atom.

```
&SYSTEM
  ibrav = 0, nat = 4, ntyp = 3
/
ATOMIC_SPECIES
Tm 168.93 Tm.upf
Lu 174.97 Lu.upf
Bi 208.98 Bi.upf
CELL_PARAMETERS angstrom
-1.7504 1.9585 -4.0146
3.4233 -2.2194 -2.5753
-2.9085 -3.8042 -0.5877
ATOMIC_POSITIONS crystal
Tm 0.0000 0.0000 0.5000
Tm 0.0000 0.5000 0.0000
Lu 0.5000 0.0000 0.0000
Bi 0.5000 0.5000 0.5000
```

# 4
This record from the Alexandria database describes a relaxed ScInSe2N crystal. The functional is PBE-GGA. Values from VASP.

## Properties
The space group is P4/mmm, No. 123. The offset from the most stable computed form comes out at 2.275 eV per formula unit. The electronic total energy is -4.562 eV/atom.

```
&SYSTEM
  ibrav = 0, nat = 5, ntyp = 4
/
ATOMIC_SPECIES
Se 78.96 Se.upf
N 14.01 N.upf
In 114.82 In.upf
Sc 44.96 Sc.upf
CELL_PARAMETERS angstrom
-1.2457 -4.4191 -2.8520
3.2401 -2.9535 3.1611
-3.2168 -0.7617 2.5854
ATOMIC_POSITIONS crystal
Se 0.5000 0.0000 0.0000
Se 0.0000 0.5000 0.0000
N 0.0000 0.0000 0.5000
In 0.0000 0.0000 0.0000
Sc 0.5000 0.5000 0.5000
```